Run i
## MnTcAg2 (meta-GGA SCAN)

Data for a PBEsol-optimized structure of MnTcAg2.

abc: 9.450 9.450 9.450
angles: 16.60 16.60 16.60
Fractional coordinates of all 4 atoms:
Mn 0.000 0.000 0.000
Tc 0.500 0.500 0.500
Ag 0.252 0.252 0.252
Ag 0.748 0.748 0.748

Values from the calculation:
magnetic moment: 4.12 μB per cell

Run ii
## MnTcAg2 (meta-GGA SCAN)

Data for a PBEsol-optimized structure of MnTcAg2.

abc: 4.789 4.789 2.700
angles: 90.00 90.00 90.00
Fractional coordinates of all 4 atoms:
Mn 0.000 0.000 0.000
Tc 0.500 0.500 0.000
Ag 0.000 0.500 0.500
Ag 0.500 0.000 0.500

Values from the calculation:
magnetic moment: 3.51 μB per cell

Run iii
## MnTcAg2 (meta-GGA SCAN)

Data for a PBEsol-optimized structure of MnTcAg2.

abc: 2.683 2.683 8.835
angles: 90.00 90.00 110.34
Fractional coordinates of all 4 atoms:
Mn 0.000 0.000 0.000
Tc 0.500 0.500 0.792
Ag 0.000 0.000 0.522
Ag 0.500 0.500 0.252

Values from the calculation:
magnetic moment: 2.81 μB per cell

Of them, the most stable is run iii and the least stable is run ii.

Run i
## AgMo (meta-GGA SCAN)

Data for a PBEsol-optimized structure of AgMo.

abc: 2.674 2.674 8.817
angles: 90.00 90.00 90.00
Fractional coordinates of all 4 atoms:
Ag 0.250 0.250 0.126
Ag 0.750 0.750 0.874
Mo 0.250 0.250 0.626
Mo 0.750 0.750 0.374

Values from the calculation:
magnetic moment: 0.00 μB per cell

Run ii
## AgMo (meta-GGA SCAN)

Data for a PBEsol-optimized structure of AgMo.

abc: 2.755 2.755 9.679
angles: 90.00 90.00 120.00
Fractional coordinates of all 4 atoms:
Ag 0.333 0.667 0.374
Ag 0.667 0.333 0.626
Mo 0.333 0.667 0.878
Mo 0.667 0.333 0.122

Values from the calculation:
magnetic moment: 0.00 μB per cell

Run iii
## AgMo (meta-GGA SCAN)

Data for a PBEsol-optimized structure of AgMo.

abc: 4.491 4.491 4.491
angles: 60.00 60.00 60.00
Fractional coordinates of all 4 atoms:
Ag 0.125 0.125 0.125
Ag 0.875 0.875 0.875
Mo 0.375 0.375 0.375
Mo 0.625 0.625 0.625

Values from the calculation:
magnetic moment: 0.00 μB per cell

Of them, the most stable is run i and the least stable is run iii.

Run i
## NiAg2Mo (meta-GGA SCAN)

Data for a PBEsol-optimized structure of NiAg2Mo.

abc: 5.038 5.038 2.628
angles: 90.00 90.00 117.64
Fractional coordinates of all 4 atoms:
Ni 0.000 0.000 0.000
Ag 0.000 0.500 0.500
Ag 0.500 0.000 0.500
Mo 0.500 0.500 0.000

Values from the calculation:
magnetic moment: 0.00 μB per cell

Run ii
## NiAg2Mo (meta-GGA SCAN)

Data for a PBEsol-optimized structure of NiAg2Mo.

abc: 4.355 4.355 4.355
angles: 119.74 119.74 90.45
Fractional coordinates of all 4 atoms:
Ni 0.000 0.000 0.000
Ag 0.250 0.750 0.500
Ag 0.500 0.500 0.000
Mo 0.750 0.250 0.500

Values from the calculation:
magnetic moment: 0.00 μB per cell

Run iii
## NiAg2Mo (meta-GGA SCAN)

Data for a PBEsol-optimized structure of NiAg2Mo.

abc: 9.169 9.169 9.169
angles: 17.24 17.24 17.24
Fractional coordinates of all 4 atoms:
Ni 0.000 0.000 0.000
Ag 0.504 0.504 0.504
Ag 0.747 0.747 0.747
Mo 0.261 0.261 0.261

Values from the calculation:
magnetic moment: 0.00 μB per cell

Of them, the most stable is run iii and the least stable is run i.

Run i
## ReAgMo2 (meta-GGA SCAN)

Data for a PBEsol-optimized structure of ReAgMo2.

abc: 4.833 4.833 4.996
angles: 96.88 96.88 31.95
Fractional coordinates of all 4 atoms:
Re 0.000 0.000 0.000
Ag 0.251 0.251 0.742
Mo 0.501 0.501 0.501
Mo 0.750 0.750 0.239

Values from the calculation:
magnetic moment: 0.00 μB per cell

Run ii
## ReAgMo2 (meta-GGA SCAN)

Data for a PBEsol-optimized structure of ReAgMo2.

abc: 2.679 2.679 9.065
angles: 90.00 90.00 108.21
Fractional coordinates of all 4 atoms:
Re 0.000 0.000 0.000
Ag 0.000 0.000 0.500
Mo 0.500 0.500 0.238
Mo 0.500 0.500 0.762

Values from the calculation:
magnetic moment: 0.00 μB per cell

Of them, the most stable is run ii and the least stable is run i.

Run i
## Re2AgMo (meta-GGA SCAN)

Data for a PBEsol-optimized structure of Re2AgMo.

abc: 2.663 2.663 9.225
angles: 90.00 90.00 110.23
Fractional coordinates of all 4 atoms:
Re 0.000 0.000 0.000
Re 0.500 0.500 0.236
Ag 0.500 0.500 0.737
Mo 0.000 0.000 0.474

Values from the calculation:
magnetic moment: 0.00 μB per cell

Run ii
## Re2AgMo (meta-GGA SCAN)

Data for a PBEsol-optimized structure of Re2AgMo.

abc: 4.806 4.806 4.806
angles: 132.06 132.06 70.13
Fractional coordinates of all 4 atoms:
Re 0.250 0.750 0.500
Re 0.750 0.250 0.500
Ag 0.000 0.000 0.000
Mo 0.500 0.500 0.000

Values from the calculation:
magnetic moment: 0.00 μB per cell

Run iii
## Re2AgMo (meta-GGA SCAN)

Data for a PBEsol-optimized structure of Re2AgMo.

abc: 4.847 4.847 4.764
angles: 100.73 100.73 33.49
Fractional coordinates of all 4 atoms:
Re 0.000 0.000 0.000
Re 0.740 0.740 0.220
Ag 0.243 0.243 0.726
Mo 0.485 0.485 0.468

Values from the calculation:
magnetic moment: 0.00 μB per cell

Of them, the most stable is run i and the least stable is run ii.

Run i
## ReAg2Mo (meta-GGA SCAN)

Data for a PBEsol-optimized structure of ReAg2Mo.

abc: 2.659 4.111 5.715
angles: 90.00 90.00 90.00
Fractional coordinates of all 4 atoms:
Re 0.000 0.000 0.000
Ag 0.000 0.000 0.509
Ag 0.500 0.500 0.273
Mo 0.500 0.500 0.785

Values from the calculation:
magnetic moment: 0.00 μB per cell

Run ii
## ReAg2Mo (meta-GGA SCAN)

Data for a PBEsol-optimized structure of ReAg2Mo.

abc: 4.448 4.448 4.448
angles: 60.00 60.00 60.00
Fractional coordinates of all 4 atoms:
Re 0.000 0.000 0.000
Ag 0.250 0.250 0.250
Ag 0.750 0.750 0.750
Mo 0.500 0.500 0.500

Values from the calculation:
magnetic moment: 0.00 μB per cell

Run iii
## ReAg2Mo (meta-GGA SCAN)

Data for a PBEsol-optimized structure of ReAg2Mo.

abc: 5.175 5.175 5.175
angles: 143.64 127.08 65.91
Fractional coordinates of all 4 atoms:
Re 0.000 0.000 0.000
Ag 0.265 0.765 0.500
Ag 0.524 0.524 0.000
Mo 0.795 0.295 0.500

Values from the calculation:
magnetic moment: 0.00 μB per cell

Of them, the most stable is run i and the least stable is run ii.

Run i
## Ag2MoRu (meta-GGA SCAN)

Data for a PBEsol-optimized structure of Ag2MoRu.

abc: 2.638 2.638 9.609
angles: 90.00 90.00 112.66
Fractional coordinates of all 4 atoms:
Ag 0.000 0.000 0.247
Ag 0.000 0.000 0.753
Mo 0.500 0.500 0.500
Ru 0.500 0.500 0.000

Values from the calculation:
magnetic moment: 0.00 μB per cell

Run ii
## Ag2MoRu (meta-GGA SCAN)

Data for a PBEsol-optimized structure of Ag2MoRu.

abc: 4.432 4.432 4.432
angles: 60.00 60.00 60.00
Fractional coordinates of all 4 atoms:
Ag 0.000 0.000 0.000
Ag 0.250 0.250 0.250
Mo 0.500 0.500 0.500
Ru 0.750 0.750 0.750

Values from the calculation:
magnetic moment: 0.02 μB per cell

Run iii
## Ag2MoRu (meta-GGA SCAN)

Data for a PBEsol-optimized structure of Ag2MoRu.

abc: 2.672 4.420 5.160
angles: 90.00 90.10 90.00
Fractional coordinates of all 4 atoms:
Ag 0.000 0.000 0.249
Ag 0.000 0.000 0.751
Mo 0.500 0.500 0.500
Ru 0.500 0.500 0.000

Values from the calculation:
magnetic moment: 0.00 μB per cell

Of them, the most stable is run iii and the least stable is run ii.

Run i
## Sc2AgMo (meta-GGA SCAN)

Data for a PBEsol-optimized structure of Sc2AgMo.

abc: 3.283 3.283 6.803
angles: 90.00 90.00 90.00
Fractional coordinates of all 4 atoms:
Sc 0.000 0.000 0.233
Sc 0.000 0.000 0.767
Ag 0.500 0.500 0.500
Mo 0.500 0.500 0.000

Values from the calculation:
magnetic moment: 0.02 μB per cell

Run ii
## Sc2AgMo (meta-GGA SCAN)

Data for a PBEsol-optimized structure of Sc2AgMo.

abc: 2.861 2.861 9.095
angles: 90.00 90.00 90.23
Fractional coordinates of all 4 atoms:
Sc 0.000 0.000 0.000
Sc 0.500 0.500 0.301
Ag 0.000 0.000 0.537
Mo 0.500 0.500 0.766

Values from the calculation:
magnetic moment: 0.00 μB per cell

Run iii
## Sc2AgMo (meta-GGA SCAN)

Data for a PBEsol-optimized structure of Sc2AgMo.

abc: 2.936 4.412 5.743
angles: 90.00 90.00 90.00
Fractional coordinates of all 4 atoms:
Sc 0.000 0.000 0.000
Sc 0.500 0.500 0.316
Ag 0.000 0.000 0.522
Mo 0.500 0.500 0.822

Values from the calculation:
magnetic moment: 0.00 μB per cell

Of them, the most stable is run i and the least stable is run ii.

Run i
## AgMoSe2 (meta-GGA SCAN)

Data for a PBEsol-optimized structure of AgMoSe2.

abc: 4.552 4.552 3.243
angles: 90.00 90.00 90.00
Fractional coordinates of all 4 atoms:
Ag 0.000 0.000 0.000
Mo 0.500 0.500 0.000
Se 0.000 0.500 0.500
Se 0.500 0.000 0.500

Values from the calculation:
magnetic moment: 2.46 μB per cell

Run ii
## AgMoSe2 (meta-GGA SCAN)

Data for a PBEsol-optimized structure of AgMoSe2.

abc: 11.109 11.109 11.109
angles: 14.49 14.49 14.49
Fractional coordinates of all 4 atoms:
Ag 0.000 0.000 0.000
Mo 0.500 0.500 0.500
Se 0.423 0.423 0.423
Se 0.577 0.577 0.577

Values from the calculation:
magnetic moment: 0.00 μB per cell

Of them, the most stable is run i and the least stable is run ii.

Run i
## Si2AgMo (meta-GGA SCAN)

Data for a PBEsol-optimized structure of Si2AgMo.

abc: 2.745 2.745 8.015
angles: 90.00 90.00 90.00
Fractional coordinates of all 4 atoms:
Si 0.000 0.000 0.226
Si 0.000 0.000 0.774
Ag 0.500 0.500 0.500
Mo 0.500 0.500 0.000

Values from the calculation:
magnetic moment: 0.00 μB per cell

Run ii
## Si2AgMo (meta-GGA SCAN)

Data for a PBEsol-optimized structure of Si2AgMo.

abc: 5.040 5.040 5.040
angles: 137.59 137.59 61.54
Fractional coordinates of all 4 atoms:
Si 0.000 0.000 0.000
Si 0.750 0.250 0.500
Ag 0.500 0.500 0.000
Mo 0.250 0.750 0.500

Values from the calculation:
magnetic moment: 0.00 μB per cell

Of them, the most stable is run ii and the least stable is run i.

Run i
## Si2AgMo (meta-GGA SCAN)

Data for a PBEsol-optimized structure of Si2AgMo.

abc: 4.708 4.708 4.708
angles: 131.28 131.28 71.37
Fractional coordinates of all 4 atoms:
Si 0.250 0.750 0.500
Si 0.750 0.250 0.500
Ag 0.000 0.000 0.000
Mo 0.500 0.500 0.000

Values from the calculation:
magnetic moment: 0.64 μB per cell

Run ii
## Si2AgMo (meta-GGA SCAN)

Data for a PBEsol-optimized structure of Si2AgMo.

abc: 3.191 3.191 5.738
angles: 90.00 90.00 90.00
Fractional coordinates of all 4 atoms:
Si 0.000 0.000 0.223
Si 0.000 0.000 0.777
Ag 0.500 0.500 0.500
Mo 0.500 0.500 0.000

Values from the calculation:
magnetic moment: 0.00 μB per cell

Of them, the most stable is run ii and the least stable is run i.

Run i
## SrAgMo2 (meta-GGA SCAN)

Data for a PBEsol-optimized structure of SrAgMo2.

abc: 3.023 4.350 6.723
angles: 90.00 90.00 90.00
Fractional coordinates of all 4 atoms:
Sr 0.000 0.000 0.000
Ag 0.000 0.000 0.500
Mo 0.500 0.500 0.342
Mo 0.500 0.500 0.658

Values from the calculation:
magnetic moment: 0.00 μB per cell

Run ii
## SrAgMo2 (meta-GGA SCAN)

Data for a PBEsol-optimized structure of SrAgMo2.

abc: 6.154 6.154 6.154
angles: 151.98 134.81 54.01
Fractional coordinates of all 4 atoms:
Sr 0.000 0.000 0.000
Ag 0.500 0.500 0.000
Mo 0.272 0.772 0.500
Mo 0.728 0.228 0.500

Values from the calculation:
magnetic moment: 0.00 μB per cell

Of them, the most stable is run ii and the least stable is run i.